(1)
Entry from Alexandria via LeMat-Bulk: an optimized crystal structure of UZnNiSn (PBE).

As for the total moment: 0.545 μB/atom. The calculation puts the density at 10.7 g/cm3. The value obtained for the calculated formation energy is -48 meV per atom. Its density of states at the Fermi level is 7.719 states/eV/f.u.

The structure belongs to space group F-43m (No. 216); the cell edges are 6.6749, 6.6749 and 6.6749 Å and the angles 90.00°, 90.00° and 90.00°. The distinct sites, in fractional coordinates, are U at (0.0000, 0.0000, 0.0000), Zn at (0.2500, 0.2500, 0.7500), Ni at (0.2500, 0.2500, 0.2500) and Sn at (0.0000, 0.0000, 0.5000).



(2)
Entry from Alexandria via LeMat-Bulk: an optimized crystal structure of VNiSn (PBE).

As for the total moment: 0.000 μB/atom. The calculation puts the density at 8.1 g/cm3. The value obtained for the calculated formation energy is 18 meV per atom. Its density of states at the Fermi level is 2.707 states/eV/f.u.

The structure belongs to space group Cm (No. 8); the cell edges are 10.6160, 3.1342 and 5.7512 Å and the angles 90.00°, 100.71° and 90.00°. The distinct sites, in fractional coordinates, are V at (0.0000, 0.0000, 0.0000), V at (0.1322, 0.5000, 0.2883), Ni at (0.0144, 0.0000, 0.5351), Ni at (0.3605, 0.0000, 0.7121), Sn at (0.1786, 0.5000, 0.8044) and Sn at (0.3517, 0.0000, 0.2563).



(3)
Entry from Alexandria via LeMat-Bulk: an optimized crystal structure of VNi4Sn (PBE).

As for the total moment: 0.292 μB/atom. The calculation puts the density at 8.7 g/cm3. The value obtained for the calculated formation energy is -61 meV per atom. Its density of states at the Fermi level is 9.449 states/eV/f.u.

The structure belongs to space group F-43m (No. 216); the cell edges are 6.7614, 6.7614 and 6.7614 Å and the angles 90.00°, 90.00° and 90.00°. The distinct sites, in fractional coordinates, are V at (0.0000, 0.0000, 0.0000), Ni at (0.1258, 0.1258, 0.3742) and Sn at (0.2500, 0.2500, 0.7500).



(4)
Entry from Alexandria via LeMat-Bulk: an optimized crystal structure of VNiSn2 (PBE).

As for the total moment: 0.528 μB/atom. The calculation puts the density at 7.4 g/cm3. The value obtained for the calculated formation energy is 343 meV per atom. Its density of states at the Fermi level is 4.349 states/eV/f.u.

The structure belongs to space group I-42d (No. 122); the cell edges are 7.2530, 7.2530 and 5.9405 Å and the angles 90.00°, 90.00° and 90.00°. The distinct sites, in fractional coordinates, are V at (0.0000, 0.0000, 0.0000), Ni at (0.0000, 0.0000, 0.5000) and Sn at (0.2166, 0.2500, 0.6250).



(5)
Entry from Alexandria via LeMat-Bulk: an optimized crystal structure of VNiSn (PBE).

As for the total moment: 0.020 μB/atom. The calculation puts the density at 8.3 g/cm3. The value obtained for the calculated formation energy is -34 meV per atom. Its density of states at the Fermi level is 2.406 states/eV/f.u.

The structure belongs to space group Amm2 (No. 38); the cell edges are 4.2605, 3.4072 and 12.5210 Å and the angles 90.00°, 90.00° and 90.00°. The distinct sites, in fractional coordinates, are V at (0.0000, 0.0000, 0.0000), V at (0.0000, 0.0000, 0.3502), Ni at (0.5000, 0.0000, 0.1650), Ni at (0.5000, 0.0000, 0.8294), Sn at (0.0000, 0.0000, 0.6829) and Sn at (0.5000, 0.0000, 0.4906).



(6)
Entry from Alexandria via LeMat-Bulk: an optimized crystal structure of VNiSn (PBE).

As for the total moment: 0.000 μB/atom. The calculation puts the density at 8.3 g/cm3. The value obtained for the calculated formation energy is -4 meV per atom. Its density of states at the Fermi level is 2.032 states/eV/f.u.

The structure belongs to space group C2 (No. 5); the cell edges are 8.1072, 4.7908 and 5.8437 Å and the angles 90.00°, 126.34° and 90.00°. The distinct sites, in fractional coordinates, are V at (0.1598, 0.0000, 0.4933), Ni at (0.1610, 0.1919, 0.9957), Sn at (0.0000, 0.4943, 0.5000) and Sn at (0.0000, 0.7005, 0.0000).



(7)
Entry from Alexandria via LeMat-Bulk: an optimized crystal structure of VNiSn (PBE).

As for the total moment: 0.004 μB/atom. The calculation puts the density at 8.1 g/cm3. The value obtained for the calculated formation energy is 32 meV per atom. Its density of states at the Fermi level is 2.628 states/eV/f.u.

The structure belongs to space group P1 (No. 1); the cell edges are 3.0152, 5.3552 and 6.4696 Å and the angles 100.74°, 103.25° and 106.30°. The distinct sites, in fractional coordinates, are V at (0.0000, 0.0000, 0.0000), V at (0.3240, 0.2744, 0.3597), Ni at (0.5862, 0.8617, 0.3000), Ni at (0.9508, 0.2297, 0.6645), Sn at (0.1853, 0.7469, 0.6171) and Sn at (0.7544, 0.4713, 0.0307).



(8)
Entry from Alexandria via LeMat-Bulk: an optimized crystal structure of VNi3Sn (PBE).

Its offset from the most stable computed form is 0 meV per atom. As for the total moment: 0.178 μB/atom. The calculation puts the density at 6.9 g/cm3. The value obtained for the calculated formation energy is 816 meV per atom. Its density of states at the Fermi level is 5.759 states/eV/f.u.

The structure belongs to space group Pm-3m (No. 221); the cell edges are 4.3709, 4.3709 and 4.3709 Å and the angles 90.00°, 90.00° and 90.00°. The distinct sites, in fractional coordinates, are V at (0.0000, 0.0000, 0.0000), Ni at (0.0000, 0.0000, 0.5000) and Sn at (0.5000, 0.5000, 0.5000).



(9)
Entry from Alexandria via LeMat-Bulk: an optimized crystal structure of VNiSn (PBE).

As for the total moment: 0.062 μB/atom. The calculation puts the density at 8.3 g/cm3. The value obtained for the calculated formation energy is 10 meV per atom. Its density of states at the Fermi level is 3.951 states/eV/f.u.

The structure belongs to space group P3m1 (No. 156); the cell edges are 4.3219, 4.3219 and 5.6594 Å and the angles 90.00°, 90.00° and 120.00°. The distinct sites, in fractional coordinates, are V at (0.0000, 0.0000, 0.0000), V at (0.3333, 0.6667, 0.8486), Ni at (0.3333, 0.6667, 0.3122), Ni at (0.6667, 0.3333, 0.6980), Sn at (0.0000, 0.0000, 0.5287) and Sn at (0.6667, 0.3333, 0.1564).



(10)
Entry from Alexandria via LeMat-Bulk: an optimized crystal structure of VNiSn (PBE).

As for the total moment: 0.070 μB/atom. The calculation puts the density at 8.2 g/cm3. The value obtained for the calculated formation energy is -12 meV per atom. Its density of states at the Fermi level is 2.273 states/eV/f.u.

The structure belongs to space group Cm (No. 8); the cell edges are 8.8425, 3.9215 and 5.6032 Å and the angles 90.00°, 108.28° and 90.00°. The distinct sites, in fractional coordinates, are V at (0.0000, 0.0000, 0.0000), V at (0.1611, 0.5000, 0.2930), Ni at (0.1749, 0.5000, 0.7982), Ni at (0.3412, 0.0000, 0.6306), Sn at (0.0178, 0.0000, 0.5215) and Sn at (0.3172, 0.0000, 0.0991).



(11)
Entry from Alexandria via LeMat-Bulk: an optimized crystal structure of VNi6Sn (PBE).

As for the total moment: 0.000 μB/atom. The calculation puts the density at 8.9 g/cm3. The value obtained for the calculated formation energy is -206 meV per atom. Its density of states at the Fermi level is 4.773 states/eV/f.u.

The structure belongs to space group P4/mmm (No. 123); the cell edges are 3.6508, 3.6508 and 7.2769 Å and the angles 90.00°, 90.00° and 90.00°. The distinct sites, in fractional coordinates, are V at (0.0000, 0.0000, 0.0000), Ni at (0.0000, 0.5000, 0.2316), Ni at (0.5000, 0.5000, 0.0000), Ni at (0.5000, 0.5000, 0.5000) and Sn at (0.0000, 0.0000, 0.5000).



(12)
Entry from Alexandria via LeMat-Bulk: an optimized crystal structure of VNiSn (PBE).

As for the total moment: 0.095 μB/atom. The calculation puts the density at 8.3 g/cm3. The value obtained for the calculated formation energy is 63 meV per atom. Its density of states at the Fermi level is 3.022 states/eV/f.u.

The structure belongs to space group I4mm (No. 107); the cell edges are 2.9717, 2.9717 and 10.3558 Å and the angles 90.00°, 90.00° and 90.00°. The distinct sites, in fractional coordinates, are V at (0.0000, 0.0000, 0.0000), Ni at (0.0000, 0.0000, 0.3629) and Sn at (0.0000, 0.0000, 0.6935).



(13)
Entry from Alexandria via LeMat-Bulk: an optimized crystal structure of VNi15Sn4 (PBE).

As for the total moment: 0.000 μB/atom. The calculation puts the density at 9.2 g/cm3. The value obtained for the calculated formation energy is -196 meV per atom. Its density of states at the Fermi level is 7.456 states/eV/f.u.

The structure belongs to space group P4/mmm (No. 123); the cell edges are 3.7058, 3.7058 and 18.4101 Å and the angles 90.00°, 90.00° and 90.00°. The distinct sites, in fractional coordinates, are V at (0.0000, 0.0000, 0.0000), Ni at (0.0000, 0.5000, 0.0896), Ni at (0.0000, 0.5000, 0.2959), Ni at (0.0000, 0.5000, 0.5000), Ni at (0.5000, 0.5000, 0.0000), Ni at (0.5000, 0.5000, 0.1929), Ni at (0.5000, 0.5000, 0.3977), Sn at (0.0000, 0.0000, 0.1951) and Sn at (0.0000, 0.0000, 0.3984).



(14)
Entry from Alexandria via LeMat-Bulk: an optimized crystal structure of VNiSn2 (PBE).

As for the total moment: 0.666 μB/atom. The calculation puts the density at 8.0 g/cm3. The value obtained for the calculated formation energy is 191 meV per atom. Its density of states at the Fermi level is 3.440 states/eV/f.u.

The structure belongs to space group Fm-3m (No. 225); the cell edges are 6.5921, 6.5921 and 6.5921 Å and the angles 90.00°, 90.00° and 90.00°. The distinct sites, in fractional coordinates, are V at (0.0000, 0.0000, 0.0000), Ni at (0.0000, 0.0000, 0.5000) and Sn at (0.2500, 0.2500, 0.2500).



(15)
Entry from Alexandria via LeMat-Bulk: an optimized crystal structure of V4Ni15Sn (PBE).

As for the total moment: 0.169 μB/atom. The calculation puts the density at 8.6 g/cm3. The value obtained for the calculated formation energy is -178 meV per atom. Its density of states at the Fermi level is 21.581 states/eV/f.u.

The structure belongs to space group P4/mmm (No. 123); the cell edges are 3.5996, 3.5996 and 17.9836 Å and the angles 90.00°, 90.00° and 90.00°. The distinct sites, in fractional coordinates, are V at (0.0000, 0.0000, 0.0979), V at (0.0000, 0.0000, 0.2957), Ni at (0.0000, 0.5000, 0.0000), Ni at (0.0000, 0.5000, 0.1961), Ni at (0.0000, 0.5000, 0.3893), Ni at (0.5000, 0.5000, 0.0982), Ni at (0.5000, 0.5000, 0.2931), Ni at (0.5000, 0.5000, 0.5000) and Sn at (0.0000, 0.0000, 0.5000).



(16)
Entry from Alexandria via LeMat-Bulk: an optimized crystal structure of V2NiSn (PBE).

As for the total moment: 0.000 μB/atom. The calculation puts the density at 7.3 g/cm3. The value obtained for the calculated formation energy is 327 meV per atom. Its density of states at the Fermi level is 3.511 states/eV/f.u.

The structure belongs to space group I-42d (No. 122); the cell edges are 6.9889, 6.9889 and 5.1720 Å and the angles 90.00°, 90.00° and 90.00°. The distinct sites, in fractional coordinates, are V at (0.2126, 0.7500, 0.1250), Ni at (0.0000, 0.0000, 0.0000) and Sn at (0.0000, 0.0000, 0.5000).



(17)
Entry from Alexandria via LeMat-Bulk: an optimized crystal structure of VNiSn2 (PBE).

As for the total moment: 0.475 μB/atom. The calculation puts the density at 7.2 g/cm3. The value obtained for the calculated formation energy is 451 meV per atom. Its density of states at the Fermi level is 3.125 states/eV/f.u.

The structure belongs to space group R-3m (No. 166, hexagonal axes); the cell edges are 3.1298, 3.1298 and 28.1710 Å and the angles 90.00°, 90.00° and 120.00°. The distinct sites, in fractional coordinates, are V at (0.0000, 0.0000, 0.0000), Ni at (0.0000, 0.0000, 0.5000) and Sn at (0.0000, 0.0000, 0.0974).



(18)
Entry from Alexandria via LeMat-Bulk: an optimized crystal structure of NiSnW2 (PBE).

As for the total moment: 0.000 μB/atom. The calculation puts the density at 13.0 g/cm3. The value obtained for the calculated formation energy is 694 meV per atom. Its density of states at the Fermi level is 3.477 states/eV/f.u.

The structure belongs to space group I-42d (No. 122); the cell edges are 3.7549, 3.7549 and 19.6952 Å and the angles 90.00°, 90.00° and 90.00°. The distinct sites, in fractional coordinates, are Ni at (0.0000, 0.0000, 0.0000), Sn at (0.0000, 0.0000, 0.5000) and W at (0.2428, 0.2500, 0.1250).



(19)
Entry from Alexandria via LeMat-Bulk: an optimized crystal structure of Ni9Sn2W (PBE).

As for the total moment: 0.000 μB/atom. The calculation puts the density at 10.4 g/cm3. The value obtained for the calculated formation energy is -137 meV per atom. Its density of states at the Fermi level is 8.557 states/eV/f.u.

The structure belongs to space group P4/mmm (No. 123); the cell edges are 3.7014, 3.7014 and 11.1115 Å and the angles 90.00°, 90.00° and 90.00°. The distinct sites, in fractional coordinates, are Ni at (0.0000, 0.0000, 0.0000), Ni at (0.0000, 0.0000, 0.3266), Ni at (0.0000, 0.5000, 0.1554), Ni at (0.0000, 0.5000, 0.5000), Sn at (0.5000, 0.5000, 0.3330) and W at (0.5000, 0.5000, 0.0000).



(20)
Entry from Alexandria via LeMat-Bulk: an optimized crystal structure of NiSnW3 (PBE).

Its offset from the most stable computed form is 0 meV per atom. As for the total moment: 0.000 μB/atom. The calculation puts the density at 13.1 g/cm3. The value obtained for the calculated formation energy is 1412 meV per atom. Its density of states at the Fermi level is 7.255 states/eV/f.u.

The structure belongs to space group Pm-3m (No. 221); the cell edges are 4.5248, 4.5248 and 4.5248 Å and the angles 90.00°, 90.00° and 90.00°. The distinct sites, in fractional coordinates, are Ni at (0.0000, 0.0000, 0.0000), Sn at (0.5000, 0.5000, 0.5000) and W at (0.0000, 0.0000, 0.5000).